DFT (GGA+U) results for crystalline HoCrTeO6 at its relaxed geometry.

Computed properties:
E_tot, eV/f.u.: -61.491
Energy relative to the lowest polymorph listed for this composition, meV per atom: 250.1

Cell: 5.3965 5.3965 8.6330 Å, 90.00 90.00 120.00°
Last column: nearest neighbours and their distance in Å.
Space group P-31c (No. 163)
Asymmetric unit:
Ho1 0.3333 0.6667 0.2500 (multiplicity 2)  6 O 2.25
Cr1 0.0000 0.0000 0.0000 (multiplicity 2)  6 O 2.10
Te1 0.3333 0.6667 0.7500 (multiplicity 2)  6 O 1.97
O1 0.0409 0.3532 0.8760 (multiplicity 12)  1 Te 1.97, 1 Cr 2.10